1.
The following is a DFT calculation (PBE-GGA) of an optimized crystal structure of NaSr2SnSe4.

Summary:
Fermi-level density of states, states/eV per atom: 0.5489
Calculated total energy, Ha/atom: -0.15141
Formation energy without anion corrections, eV/atom: -1.29
Calculated volume, Å³/cell: 457

Cell lengths 8.6208, 8.6208, 8.7555 Å; angles 120.52, 120.52, 88.93 degrees
Sites, in units of the cell vectors:
Na1 0.0000 0.5000 0.0000
Na2 0.0000 0.5000 0.5000
Sr1 0.5000 0.0000 0.0000
Sr2 0.5000 0.0000 0.5000
Sr3 0.0000 0.0000 0.5000
Sr4 0.5000 0.5000 0.0000
Sn1 0.5000 0.5000 0.5000
Sn2 0.0000 0.0000 0.0000
Se1 0.2355 0.7593 0.9974
Se2 0.7407 0.2645 0.5026
Se3 0.2593 0.7355 0.4974
Se4 0.7645 0.2407 0.0026
Se5 0.7539 0.7461 0.9870
Se6 0.7539 0.7461 0.5130
Se7 0.2461 0.2539 0.4870
Se8 0.2461 0.2539 0.0130


2.
The following is a DFT calculation (PBE-GGA) of an optimized crystal structure of NaSrSnSe3.

Summary:
Fermi-level density of states, states/eV per atom: 0.2045
Calculated total energy, Ha/atom: -0.14410
Formation energy without anion corrections, eV/atom: -1.01
Calculated volume, Å³/cell: 341

Cell lengths 4.5159, 7.9067, 10.1345 Å; angles 109.45, 90.00, 90.00 degrees
Sites, in units of the cell vectors:
Na1 0.2500 0.1312 0.6174
Na2 0.7500 0.8688 0.3826
Sr1 0.7500 0.6643 0.6915
Sr2 0.2500 0.3357 0.3085
Sn1 0.2500 0.7202 0.0909
Sn2 0.7500 0.2798 0.9091
Se1 0.2500 0.7424 0.5104
Se2 0.7500 0.9233 0.0517
Se3 0.7500 0.5067 0.1685
Se4 0.7500 0.2576 0.4896
Se5 0.2500 0.4933 0.8315
Se6 0.2500 0.0767 0.9483


3.
The following is a DFT calculation (PBE-GGA) of an optimized crystal structure of Na3TaSn3Se8.

Summary:
Fermi-level density of states, states/eV per atom: 0.2210
Calculated total energy, Ha/atom: -0.16358
Formation energy without anion corrections, eV/atom: -0.74
Calculated volume, Å³/cell: 408

Cell lengths 8.1396, 8.1109, 8.5354 Å; angles 118.16, 90.00, 120.12 degrees
Sites, in units of the cell vectors:
Na1 0.0000 0.0000 0.0000
Na2 0.0000 0.5000 0.0000
Na3 0.5000 0.5000 0.0000
Ta1 0.0000 0.0000 0.5000
Sn1 0.5000 0.0000 0.5000
Sn2 0.5000 0.5000 0.5000
Sn3 0.0000 0.5000 0.5000
Se1 0.2522 0.5044 0.2598
Se2 0.7478 0.4956 0.7402
Se3 0.7778 0.5556 0.2921
Se4 0.2222 0.4444 0.7079
Se5 0.7790 0.0152 0.2928
Se6 0.2210 0.9848 0.7072
Se7 0.2362 0.0152 0.2928
Se8 0.7638 0.9848 0.7072


4.
The following is a DFT calculation (PBE-GGA) of an optimized crystal structure of NaTbSn2Se4.

Summary:
Calculated total energy, Ha/atom: -0.16506
Formation energy without anion corrections, eV/atom: -1.00
Calculated volume, Å³/cell: 216

Cell lengths 4.2250, 7.4079, 7.2870 Å; angles 71.51, 90.00, 90.00 degrees
Sites, in units of the cell vectors:
Na1 0.5000 0.5000 0.0000
Tb1 0.0000 0.5000 0.5000
Sn1 0.0000 0.0000 0.0000
Sn2 0.5000 0.0000 0.5000
Se1 0.0000 0.7434 0.7404
Se2 0.0000 0.2566 0.2596
Se3 0.5000 0.7362 0.2624
Se4 0.5000 0.2638 0.7376


5.
The following is a DFT calculation (PBE-GGA) of an optimized crystal structure of Na3Tb2SnSe6.

Summary:
Fermi-level density of states, states/eV per atom: 0.3563
Calculated total energy, Ha/atom: -0.16638
Formation energy without anion corrections, eV/atom: -1.35
Calculated volume, Å³/cell: 315

Cell lengths 7.2134, 7.2134, 7.4022 Å; angles 99.37, 99.37, 120.00 degrees
Sites, in units of the cell vectors:
Na1 0.1637 0.8363 0.5000
Na2 0.8363 0.1637 0.5000
Na3 0.5000 0.5000 0.5000
Tb1 0.3331 0.6669 0.0000
Tb2 0.6669 0.3331 0.0000
Sn1 0.0000 0.0000 0.0000
Se1 0.9229 0.5904 0.7698
Se2 0.7436 0.7436 0.2292
Se3 0.0771 0.4096 0.2302
Se4 0.5904 0.9229 0.7698
Se5 0.2564 0.2564 0.7708
Se6 0.4096 0.0771 0.2302


6.
The following is a DFT calculation (PBE-GGA) of an optimized crystal structure of NaSnTeSe.

Summary:
Fermi-level density of states, states/eV per atom: 0.5721
Calculated total energy, Ha/atom: -0.13072
Formation energy without anion corrections, eV/atom: -0.57
Calculated volume, Å³/cell: 115

Cell lengths 4.2161, 4.2161, 7.8368 Å; angles 74.40, 74.40, 60.00 degrees
Sites, in units of the cell vectors:
Na1 0.5080 0.5080 0.4761
Sn1 0.9950 0.9950 0.0151
Te1 0.7426 0.7426 0.7721
Se1 0.2544 0.2544 0.2367


7.
The following is a DFT calculation (PBE-GGA) of an optimized crystal structure of Na2Sn2TeSe2.

Summary:
Fermi-level density of states, states/eV per atom: 0.1166
Calculated total energy, Ha/atom: -0.12898
Formation energy without anion corrections, eV/atom: -0.54
Calculated volume, Å³/cell: 217

Cell lengths 5.8651, 8.3603, 5.5780 Å; angles 82.73, 58.28, 69.47 degrees
Sites, in units of the cell vectors:
Na1 0.6134 0.0780 0.6952
Na2 0.3866 0.9220 0.3048
Sn1 0.2999 0.6080 0.7922
Sn2 0.7001 0.3920 0.2078
Te1 0.0000 0.0000 0.0000
Se1 0.2516 0.3583 0.1386
Se2 0.7484 0.6417 0.8614


8.
The following is a DFT calculation (PBE-GGA) of an optimized crystal structure of Na3ThSn2Se6.

Summary:
Fermi-level density of states, states/eV per atom: 0.4331
Calculated total energy, Ha/atom: -0.16202
Formation energy without anion corrections, eV/atom: -1.05
Calculated volume, Å³/cell: 328

Cell lengths 7.3678, 7.3678, 7.4021 Å; angles 99.56, 99.56, 119.96 degrees
Sites, in units of the cell vectors:
Na1 0.1718 0.8282 0.5000
Na2 0.8282 0.1718 0.5000
Na3 0.5000 0.5000 0.5000
Th1 0.0000 0.0000 0.0000
Sn1 0.3343 0.6657 0.0000
Sn2 0.6657 0.3343 0.0000
Se1 0.9222 0.5934 0.7662
Se2 0.7494 0.7494 0.2344
Se3 0.0778 0.4066 0.2338
Se4 0.5934 0.9222 0.7662
Se5 0.2506 0.2506 0.7656
Se6 0.4066 0.0778 0.2338


9.
The following is a DFT calculation (PBE-GGA) of an optimized crystal structure of NaTlSn2Se4.

Summary:
Fermi-level density of states, states/eV per atom: 0.5602
Calculated total energy, Ha/atom: -0.13743
Formation energy without anion corrections, eV/atom: -0.54
Calculated volume, Å³/cell: 217

Cell lengths 4.1489, 7.6278, 7.1933 Å; angles 72.77, 90.00, 90.00 degrees
Sites, in units of the cell vectors:
Na1 0.0000 0.5000 0.5000
Tl1 0.5000 0.5000 0.0000
Sn1 0.0000 0.0000 0.0000
Sn2 0.5000 0.0000 0.5000
Se1 0.0000 0.7786 0.7222
Se2 0.0000 0.2214 0.2778
Se3 0.5000 0.7713 0.2608
Se4 0.5000 0.2287 0.7392


10.
The following is a DFT calculation (PBE-GGA) of an optimized crystal structure of NaTlSnSe2.

Summary:
Calculated total energy, Ha/atom: -0.12719
Formation energy without anion corrections, eV/atom: -0.53
Calculated volume, Å³/cell: 370

Cell lengths 4.9782, 8.1154, 9.9707 Å; angles 104.58, 90.00, 107.86 degrees
Sites, in units of the cell vectors:
Na1 0.6988 0.3976 0.0635
Na2 0.3012 0.6024 0.9365
Tl1 0.3069 0.6139 0.3592
Tl2 0.6931 0.3861 0.6408
Sn1 0.0597 0.1195 0.2146
Sn2 0.9403 0.8805 0.7854
Se1 0.3351 0.6701 0.6704
Se2 0.6649 0.3299 0.3296
Se3 0.1193 0.2386 0.9812
Se4 0.8807 0.7614 0.0188


11.
The following is a DFT calculation (PBE-GGA) of an optimized crystal structure of NaTl2SnSe4.

Summary:
Fermi-level density of states, states/eV per atom: 0.3455
Calculated total energy, Ha/atom: -0.12745
Formation energy without anion corrections, eV/atom: -0.47
Calculated volume, Å³/cell: 435

Cell lengths 8.4928, 8.4928, 8.7411 Å; angles 120.97, 120.97, 89.43 degrees
Sites, in units of the cell vectors:
Na1 0.0000 0.5000 0.0000
Na2 0.0000 0.5000 0.5000
Tl1 0.5000 0.0000 0.0000
Tl2 0.5000 0.0000 0.5000
Tl3 0.0000 0.0000 0.5000
Tl4 0.5000 0.5000 0.0000
Sn1 0.5000 0.5000 0.5000
Sn2 0.0000 0.0000 0.0000
Se1 0.2264 0.7654 0.9959
Se2 0.7346 0.2737 0.5041
Se3 0.2654 0.7263 0.4959
Se4 0.7737 0.2346 0.0042
Se5 0.7537 0.7463 0.9703
Se6 0.7537 0.7463 0.5297
Se7 0.2463 0.2537 0.4703
Se8 0.2463 0.2537 0.0297


12.
The following is a DFT calculation (PBE-GGA) of an optimized crystal structure of NaTl2Sn2Se4.

Summary:
Fermi-level density of states, states/eV per atom: 0.1717
Calculated total energy, Ha/atom: -0.13152
Formation energy without anion corrections, eV/atom: -0.47
Calculated volume, Å³/cell: 266

Cell lengths 5.3387, 7.6589, 7.4273 Å; angles 109.36, 90.00, 110.40 degrees
Sites, in units of the cell vectors:
Na1 0.0000 0.0000 0.0000
Tl1 0.8741 0.7481 0.4749
Tl2 0.1259 0.2519 0.5251
Sn1 0.3453 0.6907 0.9297
Sn2 0.6547 0.3093 0.0703
Se1 0.7845 0.5690 0.8172
Se2 0.2155 0.4310 0.1828
Se3 0.5074 0.0148 0.2567
Se4 0.4926 0.9852 0.7433


What did the first record say?
The following is a DFT calculation (PBE-GGA) of an optimized crystal structure of NaSr2SnSe4.

Summary:
Fermi-level density of states, states/eV per atom: 0.5489
Calculated total energy, Ha/atom: -0.15141
Formation energy without anion corrections, eV/atom: -1.29
Calculated volume, Å³/cell: 457

Cell lengths 8.6208, 8.6208, 8.7555 Å; angles 120.52, 120.52, 88.93 degrees
Sites, in units of the cell vectors:
Na1 0.0000 0.5000 0.0000
Na2 0.0000 0.5000 0.5000
Sr1 0.5000 0.0000 0.0000
Sr2 0.5000 0.0000 0.5000
Sr3 0.0000 0.0000 0.5000
Sr4 0.5000 0.5000 0.0000
Sn1 0.5000 0.5000 0.5000
Sn2 0.0000 0.0000 0.0000
Se1 0.2355 0.7593 0.9974
Se2 0.7407 0.2645 0.5026
Se3 0.2593 0.7355 0.4974
Se4 0.7645 0.2407 0.0026
Se5 0.7539 0.7461 0.9870
Se6 0.7539 0.7461 0.5130
Se7 0.2461 0.2539 0.4870
Se8 0.2461 0.2539 0.0130


Q: calculated volume of number 1 (NaSr2SnSe4)?
A: 457 Å³/cell


Q: What is the formation energy without anion corrections in the ninth record?
A: -0.54 eV/atom